# 1
Density functional theory data (GGA+U) for crystalline CrCNF2 at its relaxed geometry.

ΔE to the lowest computed polymorph: 0.000 eV/atom

Lattice parameters (Å, degrees): 4.5262 4.5262 2.5130 90.00 90.00 90.00
Closest atoms and distances in Å follow each position.
Space group P4/mmm (No. 123)
One atom of each set of equivalent atoms:
Cr: 0.0000 0.0000 0.0000 x1  2 Cr 2.51, 8 F 2.59
C: 0.5000 0.5000 0.5000 x1  2 N 1.26
N: 0.5000 0.5000 0.0000 x1  2 C 1.26
F: 0.0000 0.5000 0.5000 x2  2 C 2.26, 2 F 2.51


# 2
Density functional theory data (GGA+U) for crystalline CrCNF2 at its relaxed geometry.

ΔE to the lowest computed polymorph: 0.971 eV/atom

Lattice parameters (Å, degrees): 3.8830 3.8830 3.8889 90.00 90.00 90.00
Closest atoms and distances in Å follow each position.
Space group P4/mmm (No. 123)
One atom of each set of equivalent atoms:
Cr: 0.0000 0.0000 0.0000 x1  4 F 1.94, 2 N 1.94
C: 0.5000 0.5000 0.5000 x1  4 N 2.75, 8 F 2.75
N: 0.0000 0.0000 0.5000 x1  2 Cr 1.94
F: 0.0000 0.5000 0.0000 x2  2 Cr 1.94


# 3
Density functional theory data (GGA+U) for crystalline CrCO2F at its relaxed geometry.

Lattice parameters (Å, degrees): 3.8040 3.8040 3.8048 90.00 90.00 90.00
Closest atoms and distances in Å follow each position.
Space group P4/mmm (No. 123)
One atom of each set of equivalent atoms:
Cr: 0.0000 0.0000 0.0000 x1  4 O 1.90, 2 F 1.90
C: 0.5000 0.5000 0.5000 x1  4 F 2.69, 8 O 2.69
O: 0.0000 0.5000 0.0000 x2  2 Cr 1.90
F: 0.0000 0.0000 0.5000 x1  2 Cr 1.90


# 4
Density functional theory data (GGA+U) for crystalline CrCO2F at its relaxed geometry.

Lattice parameters (Å, degrees): 3.5330 3.5330 3.5901 90.00 90.00 90.00
Closest atoms and distances in Å follow each position.
Space group P4/mmm (No. 123)
One atom of each set of equivalent atoms:
Cr: 0.0000 0.0000 0.0000 x1  4 F 2.50, 8 O 2.52
C: 0.5000 0.5000 0.5000 x1  4 O 1.77, 2 F 1.80
O: 0.0000 0.5000 0.5000 x2  2 C 1.77
F: 0.5000 0.5000 0.0000 x1  2 C 1.80


# 5
Density functional theory data (GGA+U) for crystalline Sr2CrCO3F5 at its relaxed geometry.

Lattice parameters (Å, degrees): 5.5810 8.9974 13.8825 90.00 105.88 90.00
Closest atoms and distances in Å follow each position.
Space group P2_1/c (No. 14)
One atom of each set of equivalent atoms:
Sr: 0.1892 0.1071 0.4025 x4  4 F 2.47-2.64, 4 O 2.60-2.71
Sr: 0.1926 0.6430 0.4126 x4  6 F 2.44-2.71, 1 O 2.65
Cr: 0.3069 0.6271 0.6705 x4  5 F 1.93-1.99, 1 O 1.97
C: 0.3186 0.1230 0.6351 x4  3 O 1.30-1.31
O: 0.0860 0.1204 0.5819 x4  1 C 1.31
O: 0.3631 0.1278 0.7319 x4  1 C 1.30
O: 0.4937 0.1204 0.5902 x4  1 C 1.30
F: 0.0200 0.1287 0.9337 x4  1 Cr 1.99
F: 0.1693 0.0356 0.2288 x4  1 Cr 1.93
F: 0.1686 0.7183 0.2363 x4  1 Cr 1.94
F: 0.4029 0.7215 0.0867 x4  1 Cr 1.96
F: 0.4212 0.0151 0.0870 x4  1 Cr 1.95


# 6
Density functional theory data (GGA+U) for crystalline Cr2PtCF at its relaxed geometry.

Lattice parameters (Å, degrees): 5.2025 5.2025 3.7593 90.00 90.00 90.00
Closest atoms and distances in Å follow each position.
Space group P4/mmm (No. 123)
One atom of each set of equivalent atoms:
Cr: 0.0000 0.5000 0.0000 x2  2 Pt 2.60
Pt: 0.0000 0.0000 0.0000 x1  2 C 1.88
C: 0.0000 0.0000 0.5000 x1  2 Pt 1.88
F: 0.5000 0.5000 0.5000 x1  8 Cr 3.21


# 7
Density functional theory data (GGA+U) for crystalline CrRuC2F at its relaxed geometry.

Lattice parameters (Å, degrees): 3.7986 3.7986 5.4595 90.00 90.00 90.00
Closest atoms and distances in Å follow each position.
Space group P4/mmm (No. 123)
One atom of each set of equivalent atoms:
Cr: 0.0000 0.0000 0.0000 x1  4 F 2.69, 2 Ru 2.73
Ru: 0.0000 0.0000 0.5000 x1  4 C 1.90
C: 0.0000 0.5000 0.5000 x2  2 Ru 1.90
F: 0.5000 0.5000 0.0000 x1  4 Cr 2.69


| no. | total DFT energy (no corrections) (eV/atom) |
| --- | --- |
| 1 | -6.049 |
| 2 | -5.078 |
| 3 | -5.524 |
| 4 | -5.516 |
| 5 | -6.585 |
| 6 | -6.076 |
| 7 | -6.175 |